Version i
This record from the Alexandria database describes a relaxed structure of TlPb2Au. The functional is GGA-PBE.

Calculated values
**Magnetic moment**: 0.0 μB per formula unit
**Space-group type**: Pm, No. 6

a b c (Å): 4.4754 3.5983 7.2517
angles (deg): 75.82 90.00 90.00
Positions (direct):
Pb  0.0000  0.9641  0.9492
Pb  0.5000  0.3108  0.2464
Au  0.5000  0.5416  0.7959
Tl  0.0000  0.6834  0.5085


Version ii
This record from the Alexandria database describes a relaxed structure of TlPb2Au. The functional is GGA-PBE.

Calculated values
**Magnetic moment**: 0.0 μB per formula unit
**Space-group type**: Cm, No. 8

a b c (Å): 6.4375 6.4375 6.1955
angles (deg): 58.27 58.27 32.35
Positions (direct):
Tl  0.5435  0.5435  0.5167
Au  0.2658  0.2658  0.1019
Pb  0.7387  0.7387  0.7543
Pb  0.9520  0.9520  0.1272


Version iii
This record from the Alexandria database describes a relaxed structure of TlPb2Au. The functional is GGA-PBE.

Calculated values
**Magnetic moment**: 0.0 μB per formula unit
**Space-group type**: I4/mmm, No. 139

a b c (Å): 5.6183 5.6183 5.6183
angles (deg): 127.42 127.42 77.57
Positions (direct):
Au  0.7500  0.2500  0.5000
Pb  0.5000  0.5000  0.0000
Pb  0.0000  0.0000  0.0000
Tl  0.2500  0.7500  0.5000


Referenced to the most stable arrangement, the calculated values in kJ/mol of atoms are version i 2.5; version ii 0.0; version iii 5.4.


Version i
This record from the Alexandria database describes a relaxed structure of TlPb2Au. The functional is GGA-PBE.

Calculated values
**Magnetic moment**: 0.0 μB per formula unit
**Space-group type**: Cmm2, No. 35

a b c (Å): 3.5124 3.5124 8.9545
angles (deg): 90.00 90.00 92.20
Positions (direct):
Pb  0.0000  0.0000  0.9604
Pb  0.5000  0.5000  0.2497
Tl  0.0000  0.0000  0.5380
Au  0.5000  0.5000  0.7519


Version ii
This record from the Alexandria database describes a relaxed structure of TlPb2Au. The functional is GGA-PBE.

Calculated values
**Magnetic moment**: 0.0 μB per formula unit
**Space-group type**: Fm-3m, No. 225

a b c (Å): 5.3626 5.3626 5.3626
angles (deg): 60.00 60.00 60.00
Positions (direct):
Au  0.0000  0.0000  0.0000
Pb  0.2500  0.2500  0.2500
Pb  0.7500  0.7500  0.7500
Tl  0.5000  0.5000  0.5000


Version iii
This record from the Alexandria database describes a relaxed structure of TlPb2Au. The functional is GGA-PBE.

Calculated values
**Magnetic moment**: 0.0 μB per formula unit
**Space-group type**: P4/mmm, No. 123

a b c (Å): 3.7296 5.4156 5.4156
angles (deg): 90.00 90.00 90.00
Positions (direct):
Pb  0.0000  0.5000  0.5000
Pb  0.0000  0.0000  0.0000
Au  0.5000  0.0000  0.5000
Tl  0.5000  0.5000  0.0000


Version iv
This record from the Alexandria database describes a relaxed structure of TlPb2Au. The functional is GGA-PBE.

Calculated values
**Magnetic moment**: 0.0 μB per formula unit
**Space-group type**: R3m, No. 160

a b c (Å): 10.3258 10.3258 10.3258
angles (deg): 20.04 20.04 20.04
Positions (direct):
Au  0.7500  0.7500  0.7500
Tl  0.4882  0.4882  0.4882
Pb  0.0122  0.0122  0.0122
Pb  0.2498  0.2498  0.2498


Referenced to the most stable arrangement, the calculated values in kJ/mol of atoms are version i 0.0; version ii 6.1; version iii 4.8; version iv 2.1.


Version i
This record from the Alexandria database describes a relaxed structure of TlPb2Au. The functional is GGA-PBE.

Calculated values
**Magnetic moment**: 0.0 μB per formula unit
**Space-group type**: Pmmm, No. 47

a b c (Å): 3.7242 5.5904 5.3390
angles (deg): 90.00 90.00 90.00
Positions (direct):
Pb  0.0000  0.0000  0.0000
Pb  0.5000  0.5000  0.0000
Au  0.0000  0.5000  0.5000
Tl  0.5000  0.0000  0.5000


Version ii
This record from the Alexandria database describes a relaxed structure of TlPb2Au. The functional is GGA-PBE.

Calculated values
**Magnetic moment**: 0.0 μB per formula unit
**Space-group type**: R3m, No. 160

a b c (Å): 4.4352 4.4352 7.7667
angles (deg): 73.41 73.41 60.00
Positions (direct):
Pb  0.2706  0.2706  0.1883
Pb  0.0624  0.0624  0.8128
Tl  0.5009  0.5009  0.4972
Au  0.6661  0.6661  0.0017


Version iii
This record from the Alexandria database describes a relaxed structure of TlPb2Au. The functional is GGA-PBE.

Calculated values
**Magnetic moment**: 0.0 μB per formula unit
**Space-group type**: Cmmm, No. 65

a b c (Å): 5.5458 5.5458 3.6063
angles (deg): 90.00 90.00 100.42
Positions (direct):
Au  0.0000  0.5000  0.5000
Pb  0.5000  0.5000  0.0000
Pb  0.0000  0.0000  0.0000
Tl  0.5000  0.0000  0.5000


Referenced to the most stable arrangement, the calculated values in kJ/mol of atoms are version i 5.7; version ii 0.0; version iii 4.4.


Version i
This record from the Alexandria database describes a relaxed structure of TlPb2Au. The functional is GGA-PBE.

Calculated values
**Magnetic moment**: 0.0 μB per formula unit
**Space-group type**: P2/m, No. 10

a b c (Å): 3.5609 3.4470 9.6673
angles (deg): 69.84 90.00 90.00
Positions (direct):
Tl  0.5000  0.2500  0.2500
Pb  0.0000  0.0459  0.9576
Pb  0.0000  0.4541  0.5424
Au  0.5000  0.7500  0.7500


Version ii
This record from the Alexandria database describes a relaxed structure of TlPb2Au. The functional is GGA-PBE.

Calculated values
**Magnetic moment**: 0.0 μB per formula unit
**Space-group type**: R-3m, No. 166

a b c (Å): 9.6080 9.6080 9.6080
angles (deg): 22.68 22.68 22.68
Positions (direct):
Tl  0.2500  0.2500  0.2500
Au  0.7500  0.7500  0.7500
Pb  0.0113  0.0113  0.0113
Pb  0.4887  0.4887  0.4887


Referenced to the most stable arrangement, the calculated values in kJ/mol of atoms are version i 0.0; version ii 2.8.